## SmMnTc (GGA-PBE)

Data for a relaxed structure of SmMnTc.

* size of the total moment: 7.89 μB/cell
* calculated volume: 19.4 A^3/atom
* density of states at the Fermi level: 1.15 states/eV/atom
* E: -7.616 eV/atom
* calculated formation energy: 0.469 eV/atom

Cell lengths 4.872, 4.872, 5.516 Å; angles 90.00, 90.00, 117.02 degrees
Positions (direct):
Sm  0.142  0.858  0.750
Sm  0.858  0.142  0.250
Mn  0.211  0.789  0.250
Mn  0.789  0.211  0.750
Tc  0.500  0.500  0.000
Tc  0.500  0.500  0.500